Compound: SmHoHgRh
Source: Alexandria
Functional: PBE
Structure: optimized geometry

Structure (CIF):
```
data_SmHoHgRh
_chemical_formula_sum 'Sm1 Ho1 Hg1 Rh1'
_cell_length_a 5.0940
_cell_length_b 5.0940
_cell_length_c 5.0940
_cell_angle_alpha 60.00
_cell_angle_beta 60.00
_cell_angle_gamma 60.00
_space_group_name_H-M_alt 'P 1'
_space_group_IT_number 1
loop_
_space_group_symop_operation_xyz
'x,y,z'
loop_
_atom_site_label
_atom_site_type_symbol
_atom_site_fract_x
_atom_site_fract_y
_atom_site_fract_z
_atom_site_occupancy
Sm1 Sm 0.7500 0.7500 0.7500 1
Hg1 Hg 0.5000 0.5000 0.5000 1
Rh1 Rh 0.0000 0.0000 0.0000 1
Ho1 Ho 0.2500 0.2500 0.2500 1
```

Calculated values
Energy relative to the elements, meV per atom: -584
Energy, eV/f.u.: -19.3